# 1
Entry from OQMD: an optimized crystal structure of NaCdPbAu (PBE).

Unit cell a=5.114 b=5.114 c=5.114 alpha=60.00 beta=60.00 gamma=60.00
Element x y z (fractional)
1 Na 0.500 0.500 0.500
2 Pb 0.000 0.000 0.000
3 Cd 0.250 0.250 0.250
4 Au 0.750 0.750 0.750

Computed properties:
E in eV per atom: -2.43
Space-group type: No. 216
Energy above the lowest structure with this stoichiometry in meV per atom: 5

# 2
Entry from OQMD: an optimized crystal structure of NaCdPbAu (PBE).

Unit cell a=5.054 b=5.054 c=5.054 alpha=60.00 beta=60.00 gamma=60.00
Element x y z (fractional)
1 Na 0.250 0.250 0.250
2 Au 0.750 0.750 0.750
3 Cd 0.500 0.500 0.500
4 Pb 0.000 0.000 0.000

Computed properties:
E in eV per atom: -2.43
Space-group type: No. 216
Energy above the lowest structure with this stoichiometry in meV per atom: 0

# 3
Entry from OQMD: an optimized crystal structure of RbNaCdAu2 (PBE).

Unit cell a=6.929 b=6.929 c=6.929 alpha=139.25 beta=139.25 gamma=58.99
Element x y z (fractional)
1 Au 0.135 0.635 0.500
2 Cd 0.000 0.000 0.000
3 Rb 0.750 0.250 0.500
4 Na 0.500 0.500 0.000
5 Au 0.365 0.865 0.500

Computed properties:
E in eV per atom: -2.24
Space-group type: No. 119

# 4
Entry from OQMD: an optimized crystal structure of NaCdSnAu (PBE).

Unit cell a=5.003 b=5.003 c=5.003 alpha=60.00 beta=60.00 gamma=60.00
Element x y z (fractional)
1 Au 0.750 0.750 0.750
2 Cd 0.000 0.000 0.000
3 Na 0.500 0.500 0.500
4 Sn 0.250 0.250 0.250

Computed properties:
E in eV per atom: -2.49
Space-group type: No. 216
Energy above the lowest structure with this stoichiometry in meV per atom: 58

# 5
Entry from OQMD: an optimized crystal structure of NaCdSnAu (PBE).

Unit cell a=5.009 b=5.009 c=5.009 alpha=60.00 beta=60.00 gamma=60.00
Element x y z (fractional)
1 Au 0.750 0.750 0.750
2 Na 0.500 0.500 0.500
3 Cd 0.250 0.250 0.250
4 Sn 0.000 0.000 0.000

Computed properties:
E in eV per atom: -2.55
Space-group type: No. 216
Energy above the lowest structure with this stoichiometry in meV per atom: 0

# 6
Entry from OQMD: an optimized crystal structure of Na4CdSn2Au (PBE).

Unit cell a=5.053 b=5.053 c=7.183 alpha=90.00 beta=90.00 gamma=90.00
Element x y z (fractional)
1 Na 0.000 0.000 0.000
2 Na 0.000 0.500 0.265
3 Au 0.000 0.000 0.500
4 Na 0.500 0.500 0.500
5 Na 0.500 0.000 0.735
6 Sn 0.000 0.500 0.743
7 Sn 0.500 0.000 0.257
8 Cd 0.500 0.500 0.000

Computed properties:
E in eV per atom: -2.42
Space-group type: No. 115

# 7
Entry from OQMD: an optimized crystal structure of NbCdAu2 (PBE).

Unit cell a=4.702 b=4.702 c=4.702 alpha=60.00 beta=60.00 gamma=60.00
Element x y z (fractional)
1 Au 0.250 0.250 0.250
2 Nb 0.000 0.000 0.000
3 Au 0.500 0.500 0.500
4 Cd 0.750 0.750 0.750

Computed properties:
E in eV per atom: -4.27
Space-group type: No. 216
ΔH_f (0 K) in eV per atom: 0.115

# 8
Entry from OQMD: an optimized crystal structure of Nb2CdAu (PBE).

Unit cell a=4.732 b=4.732 c=4.732 alpha=60.00 beta=60.00 gamma=60.00
Site moments in Bohr magnetons follow the coordinates.
Element x y z (fractional)
1 Au 0.500 0.500 0.500  0.02
2 Nb 0.250 0.250 0.250  0.12
3 Nb 0.000 0.000 0.000  0.27
4 Cd 0.750 0.750 0.750  0.01

Computed properties:
E in eV per atom: -5.76
Space-group type: No. 216
ΔH_f (0 K) in eV per atom: 0.327

# 9
Entry from OQMD: an optimized crystal structure of NbCdNiAu (PBE).

Unit cell a=4.555 b=4.555 c=4.555 alpha=60.00 beta=60.00 gamma=60.00
Element x y z (fractional)
1 Au 0.750 0.750 0.750
2 Ni 0.250 0.250 0.250
3 Cd 0.500 0.500 0.500
4 Nb 0.000 0.000 0.000

Computed properties:
E in eV per atom: -4.93
Space-group type: No. 216
ΔH_f (0 K) in eV per atom: 0.026
Energy above the lowest structure with this stoichiometry in meV per atom: 0

# 10
Entry from OQMD: an optimized crystal structure of NbCdNiAu (PBE).

Unit cell a=4.532 b=4.532 c=4.532 alpha=60.00 beta=60.00 gamma=60.00
Element x y z (fractional)
1 Au 0.750 0.750 0.750
2 Cd 0.000 0.000 0.000
3 Ni 0.500 0.500 0.500
4 Nb 0.250 0.250 0.250

Computed properties:
E in eV per atom: -4.83
Space-group type: No. 216
ΔH_f (0 K) in eV per atom: 0.126
Energy above the lowest structure with this stoichiometry in meV per atom: 100

# 11
Entry from OQMD: an optimized crystal structure of NbCdPdAu (PBE).

Unit cell a=4.653 b=4.653 c=4.653 alpha=60.00 beta=60.00 gamma=60.00
Element x y z (fractional)
1 Au 0.750 0.750 0.750
2 Pd 0.250 0.250 0.250
3 Cd 0.000 0.000 0.000
4 Nb 0.500 0.500 0.500

Computed properties:
E in eV per atom: -4.98
Space-group type: No. 216
ΔH_f (0 K) in eV per atom: -0.123
Energy above the lowest structure with this stoichiometry in meV per atom: 0

# 12
Entry from OQMD: an optimized crystal structure of NbCdPdAu (PBE).

Unit cell a=4.635 b=4.635 c=4.635 alpha=60.00 beta=60.00 gamma=60.00
Element x y z (fractional)
1 Au 0.750 0.750 0.750
2 Pd 0.000 0.000 0.000
3 Nb 0.500 0.500 0.500
4 Cd 0.250 0.250 0.250

Computed properties:
E in eV per atom: -4.89
Space-group type: No. 216
ΔH_f (0 K) in eV per atom: -0.030
Energy above the lowest structure with this stoichiometry in meV per atom: 93

# 13
Entry from OQMD: an optimized crystal structure of NdCdAu (PBE).

Unit cell a=7.963 b=7.963 c=4.002 alpha=90.00 beta=90.00 gamma=120.00
Element x y z (fractional)
1 Nd 0.404 0.000 0.000
2 Cd 0.259 0.259 0.500
3 Au 0.333 0.667 0.500
4 Nd 0.596 0.596 0.000
5 Cd 0.741 0.000 0.500
6 Nd 0.000 0.404 0.000
7 Cd 0.000 0.741 0.500
8 Au 0.667 0.333 0.500
9 Au 0.000 0.000 0.000

Computed properties:
E in eV per atom: -3.63
Space-group type: No. 189
ΔH_f (0 K) in eV per atom: -0.656

# 14
Entry from OQMD: an optimized crystal structure of Nd3Cd3Pd2Au (PBE).

Unit cell a=7.796 b=7.796 c=4.049 alpha=90.00 beta=90.00 gamma=120.00
Element x y z (fractional)
1 Pd 0.667 0.333 0.000
2 Pd 0.333 0.667 0.000
3 Cd 0.740 0.000 0.000
4 Au 0.000 0.000 0.500
5 Nd 0.591 0.591 0.500
6 Nd 0.409 0.000 0.500
7 Nd 0.000 0.409 0.500
8 Cd 0.000 0.740 0.000
9 Cd 0.260 0.260 0.000

Computed properties:
E in eV per atom: -4.07
Space-group type: No. 189
ΔH_f (0 K) in eV per atom: -0.668

# 15
Entry from OQMD: an optimized crystal structure of PrNd2Cd3Pd2Au (PBE).

Unit cell a=4.054 b=7.817 c=7.817 alpha=120.06 beta=90.00 gamma=90.00
Element x y z (fractional)
1 Nd 0.000 0.593 0.000
2 Cd 0.500 0.000 0.260
3 Cd 0.500 0.740 0.740
4 Pd 0.500 0.668 0.333
5 Cd 0.500 0.260 0.000
6 Pr 0.000 0.407 0.407
7 Au 0.000 0.999 0.999
8 Nd 0.000 0.000 0.593
9 Pd 0.500 0.333 0.668

Computed properties:
E in eV per atom: -4.07
Space-group type: No. 38
ΔH_f (0 K) in eV per atom: -0.666

# 16
Entry from OQMD: an optimized crystal structure of PrNd2Cd3Au3 (PBE).

Unit cell a=4.047 b=7.945 c=7.945 alpha=120.03 beta=90.00 gamma=90.00
Element x y z (fractional)
1 Cd 0.500 0.999 0.258
2 Cd 0.500 0.742 0.742
3 Nd 0.000 0.000 0.596
4 Cd 0.500 0.258 0.999
5 Pr 0.000 0.404 0.404
6 Au 0.500 0.668 0.333
7 Au 0.000 0.999 0.999
8 Nd 0.000 0.596 0.000
9 Au 0.500 0.333 0.668

Computed properties:
E in eV per atom: -3.63
Space-group type: No. 38
ΔH_f (0 K) in eV per atom: -0.654

# 17
Entry from OQMD: an optimized crystal structure of Pr2NdCd3Au3 (PBE).

Unit cell a=4.055 b=7.956 c=7.956 alpha=119.97 beta=90.00 gamma=90.00
Element x y z (fractional)
1 Au 0.500 0.665 0.334
2 Cd 0.500 0.258 0.001
3 Cd 0.500 0.742 0.742
4 Pr 0.000 0.596 0.000
5 Au 0.500 0.334 0.665
6 Cd 0.500 0.001 0.258
7 Au 0.000 0.001 0.001
8 Pr 0.000 0.000 0.596
9 Nd 0.000 0.404 0.404

Computed properties:
E in eV per atom: -3.63
Space-group type: No. 38
ΔH_f (0 K) in eV per atom: -0.653

# 18
Entry from OQMD: an optimized crystal structure of Pr2NdCd3Pt2Au (PBE).

Unit cell a=4.053 b=7.812 c=7.812 alpha=119.98 beta=90.00 gamma=90.00
Element x y z (fractional)
1 Cd 0.000 0.257 0.001
2 Cd 0.000 0.001 0.257
3 Pr 0.500 0.000 0.588
4 Pt 0.000 0.334 0.666
5 Cd 0.000 0.743 0.743
6 Au 0.500 0.001 0.001
7 Pr 0.500 0.588 0.000
8 Pt 0.000 0.666 0.334
9 Nd 0.500 0.412 0.412

Computed properties:
E in eV per atom: -4.39
Space-group type: No. 38
ΔH_f (0 K) in eV per atom: -0.790

# 19
Entry from OQMD: an optimized crystal structure of PrNd2Cd3Pt2Au (PBE).

Unit cell a=4.046 b=7.803 c=7.803 alpha=120.08 beta=90.00 gamma=90.00
Element x y z (fractional)
1 Nd 0.000 0.589 0.000
2 Cd 0.500 0.743 0.743
3 Pr 0.000 0.411 0.411
4 Cd 0.500 0.257 0.999
5 Nd 0.000 0.000 0.589
6 Cd 0.500 0.999 0.257
7 Au 0.000 0.000 0.000
8 Pt 0.500 0.668 0.333
9 Pt 0.500 0.333 0.668

Computed properties:
E in eV per atom: -4.39
Space-group type: No. 38
ΔH_f (0 K) in eV per atom: -0.792

# 20
Entry from OQMD: an optimized crystal structure of NdTmCd2Au4 (PBE).

Unit cell a=4.965 b=4.965 c=7.019 alpha=90.00 beta=90.00 gamma=90.00
Element x y z (fractional)
1 Au 0.000 0.500 0.263
2 Cd 0.000 0.000 0.500
3 Nd 0.000 0.000 0.000
4 Au 0.500 0.000 0.263
5 Cd 0.500 0.500 0.000
6 Tm 0.500 0.500 0.500
7 Au 0.000 0.500 0.737
8 Au 0.500 0.000 0.737

Computed properties:
E in eV per atom: -3.67
Space-group type: No. 123
ΔH_f (0 K) in eV per atom: -0.661